No. 1
A relaxed PuH5 crystal, computed with GGA-PBE.

Computed properties:
**D(E_F)**: 5.1 states/eV/cell
**Total DFT energy (no corrections)**: -5.07 eV/atom

extended XYZ file:
```
6
Lattice="-0.174 -1.981 2.716 -0.775 -2.600 -1.946 3.876 0.519 0.627" Properties=species:S:1:pos:R:3 pbc="T T T"
H 1.866 -2.814 0.152
H 0.972 -1.604 -1.108
H -0.474 -2.291 0.385
H 2.129 -0.476 -0.212
H 1.061 -1.248 1.244
Pu 0.000 0.000 0.000
```


No. 2
A relaxed Pu5H6 crystal, computed with GGA-PBE.

Computed properties:
**D(E_F)**: 25.4 states/eV/cell
**Total DFT energy (no corrections)**: -8.53 eV/atom

extended XYZ file:
```
11
Lattice="-1.748 -2.621 1.101 4.587 -3.364 -0.727 0.985 4.618 7.483" Properties=species:S:1:pos:R:3 pbc="T T T"
Pu 2.294 -1.682 -0.364
Pu 2.378 -2.346 3.243
Pu 1.446 0.978 4.614
Pu 4.197 -0.396 5.709
Pu -0.372 -0.972 2.148
H 3.595 0.752 7.481
H 0.229 -2.120 0.376
H -0.024 0.620 6.486
H 1.901 -0.792 6.181
H 3.849 -1.988 1.371
H 1.924 -0.576 1.676
```


No. 3
A relaxed PuH4 crystal, computed with GGA-PBE.

Computed properties:
**D(E_F)**: 6.8 states/eV/cell
**Total DFT energy (no corrections)**: -5.10 eV/atom
**Excess energy over the best structure of this formula in the dataset**: 0.592 eV per atom

extended XYZ file:
```
5
Lattice="4.016 0.000 0.000 0.000 4.016 0.000 0.000 0.000 4.016" Properties=species:S:1:pos:R:3 pbc="T T T"
H 0.000 0.000 0.000
H 2.008 0.000 2.008
H 0.000 2.008 2.008
H 2.008 2.008 0.000
Pu 2.008 2.008 2.008
```


No. 4
A relaxed Pu3H4 crystal, computed with GGA-PBE.

Computed properties:
**D(E_F)**: 34.3 states/eV/cell
**Total DFT energy (no corrections)**: -8.24 eV/atom

extended XYZ file:
```
14
Lattice="-4.586 -0.547 -1.941 3.692 -4.675 -3.095 -0.829 -1.082 6.573" Properties=species:S:1:pos:R:3 pbc="T T T"
Pu 1.341 -3.803 3.290
Pu -1.115 -1.902 4.247
Pu -1.632 -1.544 1.059
Pu -3.064 -2.501 -1.753
Pu -0.608 -4.402 -2.710
Pu -0.091 -4.760 0.479
H -2.293 -0.274 -0.970
H 0.000 0.000 0.000
H 2.310 -4.164 1.094
H -0.688 -2.706 -0.852
H 1.485 -3.972 -1.319
H -4.033 -2.139 0.443
H -1.034 -3.598 2.389
H -3.207 -2.331 2.856
```


No. 5
A relaxed PuH4 crystal, computed with GGA-PBE.

Computed properties:
**D(E_F)**: 16.9 states/eV/cell
**Total DFT energy (no corrections)**: -5.69 eV/atom
**Excess energy over the best structure of this formula in the dataset**: 0.000 eV per atom

extended XYZ file:
```
10
Lattice="-2.379 -2.939 0.285 1.082 -1.265 -4.009 3.202 -2.434 1.633" Properties=species:S:1:pos:R:3 pbc="T T T"
Pu 0.000 0.000 0.000
Pu 0.952 -3.319 -1.045
H 1.831 -1.486 -0.036
H -0.879 -1.833 -1.009
H 0.073 -5.152 -2.054
H 2.783 -4.805 -1.082
H 3.062 -2.549 -0.719
H 0.812 -3.434 -3.397
H -1.157 -4.089 -1.372
H 1.092 -3.204 1.306
```


No. 6
A relaxed Pu2H3 crystal, computed with GGA-PBE.

Computed properties:
**D(E_F)**: 14.8 states/eV/cell
**Total DFT energy (no corrections)**: -7.71 eV/atom

extended XYZ file:
```
10
Lattice="-1.698 1.836 2.329 -3.849 -4.337 0.611 5.462 -0.649 1.986" Properties=species:S:1:pos:R:3 pbc="T T T"
Pu -0.063 -1.696 1.291
Pu -0.023 -1.454 3.636
Pu 2.777 -0.174 2.161
Pu -2.863 -2.976 2.765
H -1.274 1.377 1.747
H -0.425 0.459 0.582
H 2.163 -0.127 4.183
H -1.915 -0.773 1.720
H 1.829 -2.376 3.206
H -2.248 -3.023 0.743
```


No. 7
A relaxed Rb2PuH12Rh3 crystal, computed with GGA-PBE.

Computed properties:
**D(E_F)**: 14.7 states/eV/cell
**Total DFT energy (no corrections)**: -4.60 eV/atom

extended XYZ file:
```
18
Lattice="6.449 -0.160 -0.114 3.045 5.686 -0.114 3.045 1.773 5.404" Properties=species:S:1:pos:R:3 pbc="T T T"
Rb 7.645 4.450 3.156
Rb 4.894 2.849 2.021
Pu 0.000 0.000 0.000
H 5.453 3.174 4.850
H 9.627 5.604 2.037
H 8.037 6.507 4.615
H 7.585 1.963 1.392
H 9.627 3.775 4.615
H 5.453 5.626 1.392
H 7.087 4.125 0.327
H 2.913 1.695 3.140
H 4.503 0.792 0.562
H 4.954 5.336 3.785
H 2.913 3.524 0.562
H 7.087 1.673 3.785
Rh 3.224 -0.080 -0.057
Rh 1.523 2.843 -0.057
Rh 1.523 0.886 2.702
```


No. 8
A relaxed Pu2ReH crystal, computed with GGA-PBE.

Computed properties:
**D(E_F)**: 7.5 states/eV/cell
**Total DFT energy (no corrections)**: -11.06 eV/atom
**Excess energy over the best structure of this formula in the dataset**: 0.000 eV per atom

extended XYZ file:
```
4
Lattice="-1.705 -2.655 0.102 1.250 -0.909 -2.753 5.113 -3.155 3.363" Properties=species:S:1:pos:R:3 pbc="T T T"
Re 2.329 -3.359 0.356
H -0.228 -1.782 -1.325
Pu 3.928 -2.423 2.583
Pu 1.186 -0.732 0.780
```


The highest total DFT energy (no corrections) belongs to which entry?
Rb2PuH12Rh3


Which of these has the highest total DFT energy (no corrections)?
Rb2PuH12Rh3


Which of these has the lowest total DFT energy (no corrections)?
Pu2ReH


The highest total DFT energy (no corrections) belongs to which entry?
Rb2PuH12Rh3